Density functional theory data (PBE-GGA) for an optimized crystal structure of Sm2ErTl.

energy relative to the elements	-0.15	eV per atom
ρ	9.1	g/cm³
ΔE to the lowest computed polymorph	0	meV/atom
uncorrected energy	-4.2434	eV/atom

Cell: 6.7601 6.7601 6.7601 Å, 146.66 133.12 58.74°
Fractional coordinates of all 4 atoms:
1 Sm 0.2228 0.2228 0.0000
2 Sm 0.7772 0.7772 0.0000
3 Er 0.5000 0.0000 0.5000
4 Tl 0.0000 0.5000 0.5000